Below is a geometry-optimized TaRhCl2 structure, with properties calculated at the GGA-PBEsol level. Values from VASP.

Magnetization (μB/cell): 0.00
Total DFT energy (no corrections) (eV per atom): -6.755
Space-group type: Cm

```
&SYSTEM
  ibrav = 0, nat = 8, ntyp = 3
/
ATOMIC_SPECIES
Ta 180.95 Ta.upf
Rh 102.91 Rh.upf
Cl 35.45 Cl.upf
CELL_PARAMETERS angstrom
5.9350 0.0000 0.0000
0.0000 3.4182 0.0000
-1.5278 0.0000 8.0466
ATOMIC_POSITIONS crystal
Ta 0.0000 0.0000 0.0000
Ta 0.5000 0.5000 0.0000
Rh 0.3178 0.0000 0.8193
Rh 0.8178 0.5000 0.8193
Cl 0.0410 0.5000 0.6007
Cl 0.2571 0.5000 0.2238
Cl 0.5410 0.0000 0.6007
Cl 0.7571 0.0000 0.2238
```

Below is a geometry-optimized Pt3PbCl structure, with properties calculated at the GGA-PBEsol level. Values from VASP.

Magnetization (μB/cell): 0.00
Total DFT energy (no corrections) (eV per atom): -4.611
Space-group type: Pm-3m

```
&SYSTEM
  ibrav = 0, nat = 5, ntyp = 3
/
ATOMIC_SPECIES
Pt 195.08 Pt.upf
Pb 207.20 Pb.upf
Cl 35.45 Cl.upf
CELL_PARAMETERS angstrom
4.6122 0.0000 0.0000
0.0000 4.6122 0.0000
0.0000 0.0000 4.6122
ATOMIC_POSITIONS crystal
Pt 0.0000 0.0000 0.5000
Pt 0.0000 0.5000 0.0000
Pt 0.5000 0.0000 0.0000
Pb 0.5000 0.5000 0.5000
Cl 0.0000 0.0000 0.0000
```

Below is a geometry-optimized IrRu2W structure, with properties calculated at the GGA-PBEsol level. Values from VASP.

Magnetization (μB/cell): 0.00
Total DFT energy (no corrections) (eV per atom): -10.957
Space-group type: P4/mmm
Calculated formation energy (eV/atom): 0.04

```
&SYSTEM
  ibrav = 0, nat = 4, ntyp = 3
/
ATOMIC_SPECIES
Ir 192.22 Ir.upf
Ru 101.07 Ru.upf
W 183.84 W.upf
CELL_PARAMETERS angstrom
2.7137 0.0000 0.0000
0.0000 2.7137 0.0000
0.0000 0.0000 7.6639
ATOMIC_POSITIONS crystal
Ir 0.0000 0.0000 0.0000
Ru 0.5000 0.5000 0.2461
Ru 0.5000 0.5000 0.7539
W 0.0000 0.0000 0.5000
```

Below is a geometry-optimized Li2TlAg2 structure, with properties calculated at the GGA-PBEsol level. Values from VASP.

Magnetization (μB/cell): 0.00
Total DFT energy (no corrections) (eV per atom): -2.787
Space-group type: P4/mbm
Calculated formation energy (eV/atom): -0.15

```
&SYSTEM
  ibrav = 0, nat = 10, ntyp = 3
/
ATOMIC_SPECIES
Li 6.94 Li.upf
Tl 204.38 Tl.upf
Ag 107.87 Ag.upf
CELL_PARAMETERS angstrom
7.6469 0.0000 0.0000
0.0000 7.6469 0.0000
0.0000 0.0000 3.0017
ATOMIC_POSITIONS crystal
Li 0.1645 0.3355 0.0000
Li 0.3355 0.8355 0.0000
Li 0.6645 0.1645 0.0000
Li 0.8355 0.6645 0.0000
Tl 0.0000 0.0000 0.5000
Tl 0.5000 0.5000 0.5000
Ag 0.1295 0.6295 0.5000
Ag 0.3705 0.1295 0.5000
Ag 0.6295 0.8705 0.5000
Ag 0.8705 0.3705 0.5000
```

Below is a geometry-optimized ReNi structure, with properties calculated at the GGA-PBEsol level. Values from VASP.

Magnetization (μB/cell): 0.00
Total DFT energy (no corrections) (eV per atom): -9.804
Space-group type: Pnma
Calculated formation energy (eV/atom): -0.06

```
&SYSTEM
  ibrav = 0, nat = 8, ntyp = 2
/
ATOMIC_SPECIES
Re 186.21 Re.upf
Ni 58.69 Ni.upf
CELL_PARAMETERS angstrom
4.5706 0.0000 0.0000
0.0000 4.1921 0.0000
0.0000 0.0000 5.2108
ATOMIC_POSITIONS crystal
Re 0.0861 0.2500 0.1250
Re 0.4139 0.7500 0.6250
Re 0.5861 0.2500 0.3750
Re 0.9139 0.7500 0.8750
Ni 0.0747 0.2500 0.6209
Ni 0.4253 0.7500 0.1209
Ni 0.5747 0.2500 0.8791
Ni 0.9253 0.7500 0.3791
```

Below is a geometry-optimized NaTiI2O structure, with properties calculated at the GGA-PBEsol level. Values from VASP.

Magnetization (μB/cell): 2.68
Total DFT energy (no corrections) (eV per atom): -3.739
Space-group type: P4/mmm

```
&SYSTEM
  ibrav = 0, nat = 5, ntyp = 4
/
ATOMIC_SPECIES
Na 22.99 Na.upf
Ti 47.87 Ti.upf
I 126.90 I.upf
O 16.00 O.upf
CELL_PARAMETERS angstrom
5.2136 0.0000 0.0000
0.0000 5.2136 0.0000
0.0000 0.0000 4.0753
ATOMIC_POSITIONS crystal
Na 0.0000 0.0000 0.0000
Ti 0.5000 0.5000 0.0000
I 0.0000 0.5000 0.5000
I 0.5000 0.0000 0.5000
O 0.0000 0.0000 0.5000
```

Below is a geometry-optimized InTcCl2 structure, with properties calculated at the GGA-PBEsol level. Values from VASP.

Magnetization (μB/cell): 0.00
Total DFT energy (no corrections) (eV per atom): -4.562
Space-group type: R-3m

```
&SYSTEM
  ibrav = 0, nat = 12, ntyp = 3
/
ATOMIC_SPECIES
In 114.82 In.upf
Tc 98.00 Tc.upf
Cl 35.45 Cl.upf
CELL_PARAMETERS angstrom
3.0248 0.0000 0.0000
-1.5124 2.6195 0.0000
0.0000 0.0000 28.9135
ATOMIC_POSITIONS crystal
In 0.0000 0.0000 0.0000
In 0.3333 0.6667 0.6667
In 0.6667 0.3333 0.3333
Tc 0.0000 0.0000 0.5000
Tc 0.3333 0.6667 0.1667
Tc 0.6667 0.3333 0.8333
Cl 0.0000 0.0000 0.4232
Cl 0.0000 0.0000 0.5768
Cl 0.3333 0.6667 0.0898
Cl 0.3333 0.6667 0.2435
Cl 0.6667 0.3333 0.7565
Cl 0.6667 0.3333 0.9102
```

Below is a geometry-optimized K2PPb structure, with properties calculated at the GGA-PBEsol level. Values from VASP.

Magnetization (μB/cell): 0.00
Total DFT energy (no corrections) (eV per atom): -3.233
Space-group type: Amm2
Calculated formation energy (eV/atom): -0.22

```
&SYSTEM
  ibrav = 0, nat = 8, ntyp = 3
/
ATOMIC_SPECIES
K 39.10 K.upf
P 30.97 P.upf
Pb 207.20 Pb.upf
CELL_PARAMETERS angstrom
4.1399 0.0000 0.0000
0.0000 5.2089 0.0000
0.0000 0.0000 12.3512
ATOMIC_POSITIONS crystal
K 0.0000 0.0000 0.0000
K 0.0000 0.5000 0.5000
K 0.5000 0.0000 0.2936
K 0.5000 0.5000 0.7936
P 0.0000 0.0000 0.7306
P 0.0000 0.5000 0.2306
Pb 0.5000 0.0000 0.5947
Pb 0.5000 0.5000 0.0947
```

no.,ρ (g cm⁻³)
1,7.22
2,14.01
3,17.01
4,8.21
5,16.29
6,5.11
7,6.17
8,3.94